Entry 1:
This record from the Open Quantum Materials Database describes Dy2Ge4PdO12 after structural relaxation. The functional is PBE.

## Properties
Crystal system: triclinic

```
data_Dy2Ge4PdO12
_cell_length_a 4.9170
_cell_length_b 7.1937
_cell_length_c 7.8639
_cell_angle_alpha 68.06
_cell_angle_beta 88.12
_cell_angle_gamma 77.33
_symmetry_space_group_name_H-M 'P -1'
_symmetry_Int_Tables_number 2
loop_
_symmetry_equiv_pos_as_xyz
'x,y,z'
'-x,-y,-z'
loop_
_atom_site_label
_atom_site_type_symbol
_atom_site_fract_x
_atom_site_fract_y
_atom_site_fract_z
_atom_site_occupancy
Dy1 Dy 0.0470 0.2681 0.4512 1
Ge1 Ge 0.4158 0.8950 0.7945 1
Ge2 Ge 0.4499 0.6688 0.2205 1
Pd1 Pd 0.0000 0.5000 0.0000 1
O1 O 0.2166 0.5681 0.3822 1
O2 O 0.2180 0.9257 0.6030 1
O3 O 0.2462 0.2501 0.1954 1
O4 O 0.2673 0.8387 0.0094 1
O5 O 0.2756 0.5242 0.7969 1
O6 O 0.4026 0.1700 0.7003 1
```

Entry 2:
This record from the Open Quantum Materials Database describes Dy2Ge4PtO12 after structural relaxation. The functional is PBE.

## Properties
Crystal system: triclinic

```
data_Dy2Ge4PtO12
_cell_length_a 4.8871
_cell_length_b 7.2164
_cell_length_c 7.8920
_cell_angle_alpha 68.16
_cell_angle_beta 88.14
_cell_angle_gamma 77.00
_symmetry_space_group_name_H-M 'P -1'
_symmetry_Int_Tables_number 2
loop_
_symmetry_equiv_pos_as_xyz
'x,y,z'
'-x,-y,-z'
loop_
_atom_site_label
_atom_site_type_symbol
_atom_site_fract_x
_atom_site_fract_y
_atom_site_fract_z
_atom_site_occupancy
Dy1 Dy 0.0465 0.2685 0.4504 1
Ge1 Ge 0.4152 0.8997 0.7955 1
Ge2 Ge 0.4451 0.6705 0.2197 1
Pt1 Pt 0.0000 0.5000 0.0000 1
O1 O 0.2133 0.9269 0.6070 1
O2 O 0.2139 0.5688 0.3817 1
O3 O 0.2456 0.2498 0.1947 1
O4 O 0.2709 0.8527 0.0100 1
O5 O 0.2781 0.5231 0.7982 1
O6 O 0.4076 0.1725 0.6949 1
```

Entry 3:
This record from the Open Quantum Materials Database describes DyGeOs after structural relaxation. The functional is PBE.

## Properties
Crystal system: cubic

```
data_DyGeOs
_cell_length_a 6.3590
_cell_length_b 6.3590
_cell_length_c 6.3590
_cell_angle_alpha 90.00
_cell_angle_beta 90.00
_cell_angle_gamma 90.00
_symmetry_space_group_name_H-M 'F -4 3 m'
_symmetry_Int_Tables_number 216
_symmetry_space_group_name_Hall 'F -4 2 3'
loop_
_atom_site_label
_atom_site_type_symbol
_atom_site_fract_x
_atom_site_fract_y
_atom_site_fract_z
_atom_site_occupancy
Dy1 Dy 0.0000 0.0000 0.0000 1
Ge1 Ge 0.0000 0.0000 0.5000 1
Os1 Os 0.2500 0.2500 0.2500 1
```

Entry 4:
This record from the Open Quantum Materials Database describes DyGeOs after structural relaxation. The functional is PBE.

## Properties
Crystal system: cubic

```
data_DyGeOs
_cell_length_a 6.4828
_cell_length_b 6.4828
_cell_length_c 6.4828
_cell_angle_alpha 90.00
_cell_angle_beta 90.00
_cell_angle_gamma 90.00
_symmetry_space_group_name_H-M 'F -4 3 m'
_symmetry_Int_Tables_number 216
_symmetry_space_group_name_Hall 'F -4 2 3'
loop_
_atom_site_label
_atom_site_type_symbol
_atom_site_fract_x
_atom_site_fract_y
_atom_site_fract_z
_atom_site_occupancy
Dy1 Dy 0.0000 0.0000 0.0000 1
Ge1 Ge 0.2500 0.2500 0.7500 1
Os1 Os 0.2500 0.2500 0.2500 1
```

Entry 5:
This record from the Open Quantum Materials Database describes Dy2SiGeOs after structural relaxation. The functional is PBE.

## Properties
Crystal system: monoclinic
Energy above the lowest structure with this stoichiometry (kJ per mole of atoms): 10.3

```
data_Dy2SiGeOs
_cell_length_a 10.7962
_cell_length_b 4.2847
_cell_length_c 10.0277
_cell_angle_alpha 90.00
_cell_angle_beta 118.69
_cell_angle_gamma 90.00
_symmetry_space_group_name_H-M 'C 1 2/m 1'
_symmetry_Int_Tables_number 12
loop_
_symmetry_equiv_pos_as_xyz
'x,y,z'
'-x,-y,-z'
'-x,y,-z'
'x,-y,z'
'x+1/2,y+1/2,z'
'-x+1/2,-y+1/2,-z'
'-x+1/2,y+1/2,-z'
'x+1/2,-y+1/2,z'
loop_
_atom_site_label
_atom_site_type_symbol
_atom_site_fract_x
_atom_site_fract_y
_atom_site_fract_z
_atom_site_occupancy
Dy1 Dy 0.0061 0.0000 0.1799 1
Dy2 Dy 0.1827 0.0000 0.6100 1
Si1 Si 0.0034 0.5000 0.3765 1
Ge1 Ge 0.1435 0.5000 0.0624 1
Os1 Os 0.2251 0.5000 0.8646 1
```

Entry 6:
This record from the Open Quantum Materials Database describes Dy2SiGeOs after structural relaxation. The functional is PBE.

## Properties
Crystal system: monoclinic
Energy above the lowest structure with this stoichiometry (kJ per mole of atoms): 0.0

```
data_Dy2SiGeOs
_cell_length_a 10.7033
_cell_length_b 4.2280
_cell_length_c 10.1376
_cell_angle_alpha 90.00
_cell_angle_beta 118.46
_cell_angle_gamma 90.00
_symmetry_space_group_name_H-M 'C 1 2/m 1'
_symmetry_Int_Tables_number 12
loop_
_symmetry_equiv_pos_as_xyz
'x,y,z'
'-x,-y,-z'
'-x,y,-z'
'x,-y,z'
'x+1/2,y+1/2,z'
'-x+1/2,-y+1/2,-z'
'-x+1/2,y+1/2,-z'
'x+1/2,-y+1/2,z'
loop_
_atom_site_label
_atom_site_type_symbol
_atom_site_fract_x
_atom_site_fract_y
_atom_site_fract_z
_atom_site_occupancy
Dy1 Dy 0.0065 0.0000 0.1737 1
Dy2 Dy 0.1859 0.0000 0.6163 1
Si1 Si 0.1445 0.5000 0.0599 1
Ge1 Ge 0.0121 0.5000 0.3746 1
Os1 Os 0.2330 0.5000 0.8759 1
```

Entry 7:
This record from the Open Quantum Materials Database describes DyTmSiGeOs after structural relaxation. The functional is PBE.

## Properties
Crystal system: monoclinic
Energy above the lowest structure with this stoichiometry (kJ per mole of atoms): 1.8

```
data_DyTmSiGeOs
_cell_length_a 10.6600
_cell_length_b 4.2143
_cell_length_c 10.0686
_cell_angle_alpha 90.00
_cell_angle_beta 118.55
_cell_angle_gamma 90.00
_symmetry_space_group_name_H-M 'C 1 2/m 1'
_symmetry_Int_Tables_number 12
loop_
_symmetry_equiv_pos_as_xyz
'x,y,z'
'-x,-y,-z'
'-x,y,-z'
'x,-y,z'
'x+1/2,y+1/2,z'
'-x+1/2,-y+1/2,-z'
'-x+1/2,y+1/2,-z'
'x+1/2,-y+1/2,z'
loop_
_atom_site_label
_atom_site_type_symbol
_atom_site_fract_x
_atom_site_fract_y
_atom_site_fract_z
_atom_site_occupancy
Dy1 Dy 0.0082 0.0000 0.1754 1
Tm1 Tm 0.1842 0.0000 0.6165 1
Si1 Si 0.1441 0.5000 0.0602 1
Ge1 Ge 0.0136 0.5000 0.3761 1
Os1 Os 0.2326 0.5000 0.8746 1
```

Entry 8:
This record from the Open Quantum Materials Database describes DyTmSiGeOs after structural relaxation. The functional is PBE.

## Properties
Crystal system: monoclinic
Energy above the lowest structure with this stoichiometry (kJ per mole of atoms): 0.0

```
data_DyTmSiGeOs
_cell_length_a 10.5843
_cell_length_b 4.2161
_cell_length_c 10.0682
_cell_angle_alpha 90.00
_cell_angle_beta 118.11
_cell_angle_gamma 90.00
_symmetry_space_group_name_H-M 'C 1 2/m 1'
_symmetry_Int_Tables_number 12
loop_
_symmetry_equiv_pos_as_xyz
'x,y,z'
'-x,-y,-z'
'-x,y,-z'
'x,-y,z'
'x+1/2,y+1/2,z'
'-x+1/2,-y+1/2,-z'
'-x+1/2,y+1/2,-z'
'x+1/2,-y+1/2,z'
loop_
_atom_site_label
_atom_site_type_symbol
_atom_site_fract_x
_atom_site_fract_y
_atom_site_fract_z
_atom_site_occupancy
Dy1 Dy 0.1868 0.0000 0.1164 1
Tm1 Tm 0.0047 0.0000 0.6720 1
Si1 Si 0.1417 0.5000 0.5593 1
Ge1 Ge 0.0134 0.5000 0.8737 1
Os1 Os 0.2342 0.5000 0.3760 1
```

Respective final energy values: -131.04; -131.45; -82.51; -72.78; -135.77; -137.90; -137.32; -137.69 eV per cell.
Respective total moment values: 0.00; 0.00; 0.00; 0.00; 0.00; 0.00; 0.01; 0.00 μB/atom.